## ScTlWO6 (GGA+U)

Data for crystalline ScTlWO6 at its relaxed geometry.

E_tot	-128.0	eV for the cell shown
size of the total moment	0.00	μB per atom
calculated volume	13.06	Å³ per atom

Lattice parameters (Å, degrees): 4.919 4.919 9.719 90.00 90.00 90.00
Atoms (fractional coordinates):
Sc  0.500  0.500  0.832
Sc  0.000  0.000  0.332
Tl  0.500  0.500  0.503
Tl  0.000  0.000  0.003
W  0.500  0.500  0.167
W  0.000  0.000  0.667
O  0.179  0.821  0.511
O  0.821  0.179  0.511
O  0.321  0.321  0.011
O  0.679  0.679  0.011
O  0.218  0.782  0.178
O  0.782  0.218  0.178
O  0.282  0.282  0.678
O  0.718  0.718  0.678
O  0.803  0.197  0.810
O  0.197  0.803  0.810
O  0.697  0.697  0.310
O  0.303  0.303  0.310